(1)
The following is a GGA-PBE calculation of a geometry-optimized ScPa2Tc4 structure, from the Alexandria database.

a = 6.398 Å, b = 6.398 Å, c = 6.751 Å
α = 90.00°, β = 90.00°, γ = 90.00°
Sites, in units of the cell vectors:
Sc: 0.000 0.000 0.000
Sc: 0.500 0.500 0.500
Pa: 0.000 0.500 0.000
Pa: 0.000 0.500 0.500
Pa: 0.500 0.000 0.000
Pa: 0.500 0.000 0.500
Tc: 0.250 0.250 0.250
Tc: 0.250 0.250 0.750
Tc: 0.250 0.750 0.250
Tc: 0.250 0.750 0.750
Tc: 0.750 0.250 0.250
Tc: 0.750 0.250 0.750
Tc: 0.750 0.750 0.250
Tc: 0.750 0.750 0.750

As for the density of states at the Fermi level: 21.5 states/eV/cell. As for the crystal system: tetragonal. For the formation energy, the calculation gives 1.357 eV/f.u.



(2)
The following is a GGA-PBE calculation of a geometry-optimized BaMnNi structure, from the Alexandria database.

a = 6.877 Å, b = 6.877 Å, c = 6.877 Å
α = 90.00°, β = 90.00°, γ = 90.00°
Sites, in units of the cell vectors:
Ba: 0.000 0.000 0.000
Ba: 0.000 0.500 0.500
Ba: 0.500 0.000 0.500
Ba: 0.500 0.500 0.000
Mn: 0.000 0.000 0.500
Mn: 0.000 0.500 0.000
Mn: 0.500 0.000 0.000
Mn: 0.500 0.500 0.500
Ni: 0.250 0.250 0.250
Ni: 0.250 0.750 0.750
Ni: 0.750 0.250 0.750
Ni: 0.750 0.750 0.250

As for the density of states at the Fermi level: 4.3 states/eV/cell. As for the crystal system: cubic. The energy above the most stable polymorph in this dataset is 276 meV/atom. For the formation energy, the calculation gives 1.854 eV/f.u.



(3)
The following is a GGA-PBE calculation of a geometry-optimized ReAsRuBr2 structure, from the Alexandria database.

a = 5.207 Å, b = 5.207 Å, c = 4.736 Å
α = 90.00°, β = 90.00°, γ = 90.00°
Sites, in units of the cell vectors:
Re: 0.000 0.000 0.000
As: 0.000 0.000 0.500
Ru: 0.500 0.500 0.500
Br: 0.000 0.500 0.000
Br: 0.500 0.000 0.000

As for the density of states at the Fermi level: 5.7 states/eV/cell. As for the crystal system: tetragonal. The energy above the most stable polymorph in this dataset is 0 meV/atom. Its uncorrected formation energy is 1.36 eV per atom.



(4)
The following is a GGA-PBE calculation of a geometry-optimized CeAlGa2O6 structure, from the Alexandria database.

a = 7.111 Å, b = 7.111 Å, c = 6.340 Å
α = 111.51°, β = 111.51°, γ = 78.27°
Sites, in units of the cell vectors:
Ce: 0.185 0.815 0.750
Ce: 0.815 0.185 0.250
Al: 0.187 0.813 0.250
Al: 0.813 0.187 0.750
Ga: 0.242 0.355 0.824
Ga: 0.355 0.242 0.324
Ga: 0.645 0.758 0.676
Ga: 0.758 0.645 0.176
O: 0.032 0.182 0.676
O: 0.178 0.624 0.980
O: 0.182 0.032 0.176
O: 0.250 0.421 0.562
O: 0.376 0.822 0.520
O: 0.421 0.250 0.062
O: 0.579 0.750 0.938
O: 0.624 0.178 0.480
O: 0.750 0.579 0.438
O: 0.818 0.968 0.824
O: 0.822 0.376 0.020
O: 0.968 0.818 0.324

As for the density of states at the Fermi level: 16.6 states/eV/cell. As for the crystal system: monoclinic. Its uncorrected formation energy is -2.46 eV per atom.



(5)
The following is a GGA-PBE calculation of a geometry-optimized CsRb2SbO4 structure, from the Alexandria database.

a = 8.127 Å, b = 8.127 Å, c = 8.127 Å
α = 129.78°, β = 125.73°, γ = 77.07°
Sites, in units of the cell vectors:
Cs: 0.000 0.000 0.000
Cs: 0.500 0.000 0.500
Rb: 0.000 0.500 0.500
Rb: 0.500 0.000 0.000
Rb: 0.500 0.500 0.000
Rb: 0.500 0.500 0.500
Sb: 0.000 0.000 0.500
Sb: 0.000 0.500 0.000
O: 0.152 0.159 0.507
O: 0.152 0.645 0.993
O: 0.189 0.249 0.940
O: 0.191 0.751 0.440
O: 0.809 0.249 0.560
O: 0.811 0.751 0.060
O: 0.848 0.355 0.007
O: 0.848 0.841 0.493

As for the crystal system: orthorhombic. Its uncorrected formation energy is -1.31 eV per atom.



(6)
The following is a GGA-PBE calculation of a geometry-optimized CsCd2Cu2 structure, from the Alexandria database.

a = 8.673 Å, b = 8.673 Å, c = 3.119 Å
α = 90.00°, β = 90.00°, γ = 90.00°
Sites, in units of the cell vectors:
Cs: 0.000 0.000 0.000
Cs: 0.500 0.500 0.000
Cd: 0.126 0.374 0.500
Cd: 0.374 0.874 0.500
Cd: 0.626 0.126 0.500
Cd: 0.874 0.626 0.500
Cu: 0.156 0.656 0.000
Cu: 0.344 0.156 0.000
Cu: 0.656 0.844 0.000
Cu: 0.844 0.344 0.000

As for the density of states at the Fermi level: 3.5 states/eV/cell. As for the crystal system: tetragonal. The energy above the most stable polymorph in this dataset is 90 meV/atom. For the formation energy, the calculation gives 1.537 eV/f.u.



(7)
The following is a GGA-PBE calculation of a geometry-optimized CeNdPuMg structure, from the Alexandria database.

a = 7.720 Å, b = 7.720 Å, c = 7.720 Å
α = 90.00°, β = 90.00°, γ = 90.00°
Sites, in units of the cell vectors:
Ce: 0.000 0.000 0.000
Ce: 0.000 0.500 0.500
Ce: 0.500 0.000 0.500
Ce: 0.500 0.500 0.000
Nd: 0.000 0.000 0.500
Nd: 0.000 0.500 0.000
Nd: 0.500 0.000 0.000
Nd: 0.500 0.500 0.500
Pu: 0.250 0.250 0.750
Pu: 0.250 0.750 0.250
Pu: 0.750 0.250 0.250
Pu: 0.750 0.750 0.750
Mg: 0.250 0.250 0.250
Mg: 0.250 0.750 0.750
Mg: 0.750 0.250 0.750
Mg: 0.750 0.750 0.250

As for the density of states at the Fermi level: 57.4 states/eV/cell. As for the crystal system: cubic. For the formation energy, the calculation gives 0.537 eV/f.u.



(8)
The following is a GGA-PBE calculation of a geometry-optimized La4CeTh3N8 structure, from the Alexandria database.

a = 7.397 Å, b = 7.397 Å, c = 7.397 Å
α = 59.81°, β = 59.81°, γ = 59.81°
Sites, in units of the cell vectors:
La: 0.000 0.000 0.000
La: 0.000 0.500 0.500
La: 0.500 0.000 0.500
La: 0.500 0.500 0.000
Ce: 0.500 0.500 0.500
Th: 0.000 0.000 0.500
Th: 0.000 0.500 0.000
Th: 0.500 0.000 0.000
N: 0.242 0.242 0.242
N: 0.242 0.742 0.742
N: 0.258 0.258 0.758
N: 0.258 0.758 0.258
N: 0.742 0.242 0.742
N: 0.742 0.742 0.242
N: 0.758 0.258 0.258
N: 0.758 0.758 0.758

As for the density of states at the Fermi level: 6.5 states/eV/cell. As for the crystal system: trigonal. Its uncorrected formation energy is -1.49 eV per atom.



(9)
The following is a GGA-PBE calculation of a geometry-optimized ZrHgN2O structure, from the Alexandria database.

a = 4.398 Å, b = 4.398 Å, c = 4.097 Å
α = 90.00°, β = 90.00°, γ = 90.00°
Sites, in units of the cell vectors:
Zr: 0.000 0.000 0.000
Hg: 0.500 0.500 0.500
N: 0.000 0.500 0.000
N: 0.500 0.000 0.000
O: 0.000 0.000 0.500

As for the density of states at the Fermi level: 1.8 states/eV/cell. As for the crystal system: tetragonal. Its uncorrected formation energy is 0.03 eV per atom.



(10)
The following is a GGA-PBE calculation of a geometry-optimized BaLa2Ni structure, from the Alexandria database.

a = 4.645 Å, b = 4.645 Å, c = 11.521 Å
α = 90.00°, β = 90.00°, γ = 90.00°
Sites, in units of the cell vectors:
Ba: 0.000 0.000 0.000
Ba: 0.500 0.500 0.500
La: 0.000 0.500 0.250
La: 0.000 0.500 0.750
La: 0.500 0.000 0.250
La: 0.500 0.000 0.750
Ni: 0.000 0.000 0.500
Ni: 0.500 0.500 0.000

As for the density of states at the Fermi level: 10.6 states/eV/cell. As for the crystal system: tetragonal. The energy above the most stable polymorph in this dataset is 458 meV/atom. For the formation energy, the calculation gives 1.425 eV/f.u.



(11)
The following is a GGA-PBE calculation of a geometry-optimized RbAsRhBr2 structure, from the Alexandria database.

a = 6.356 Å, b = 6.356 Å, c = 6.427 Å
α = 90.00°, β = 90.00°, γ = 90.00°
Sites, in units of the cell vectors:
Rb: 0.000 0.000 0.000
As: 0.000 0.000 0.500
Rh: 0.500 0.500 0.500
Br: 0.000 0.500 0.000
Br: 0.500 0.000 0.000

As for the density of states at the Fermi level: 5.4 states/eV/cell. As for the crystal system: tetragonal. The energy above the most stable polymorph in this dataset is 1563 meV/atom. Its uncorrected formation energy is 1.05 eV per atom.



(12)
The following is a GGA-PBE calculation of a geometry-optimized KCoSb2 structure, from the Alexandria database.

a = 7.126 Å, b = 4.118 Å, c = 7.695 Å
α = 90.00°, β = 108.06°, γ = 90.00°
Sites, in units of the cell vectors:
K: 0.000 0.000 0.000
K: 0.500 0.500 0.000
Co: 0.000 0.500 0.500
Co: 0.500 0.000 0.500
Sb: 0.214 0.000 0.642
Sb: 0.286 0.500 0.358
Sb: 0.714 0.500 0.642
Sb: 0.786 0.000 0.358

As for the density of states at the Fermi level: 7.5 states/eV/cell. As for the crystal system: monoclinic. The energy above the most stable polymorph in this dataset is 0 meV/atom. Its uncorrected formation energy is -0.18 eV per atom.